! PbSeN2F, optimized geometry, DFT GGA-PBE; values from VASP
&SYSTEM
  ibrav = 0, nat = 5, ntyp = 4
/
ATOMIC_SPECIES
N 14.01 N.upf
F 19.00 F.upf
Pb 207.20 Pb.upf
Se 78.96 Se.upf
CELL_PARAMETERS angstrom
-2.005 2.524 3.094
-1.987 -3.634 1.676
3.342 -0.602 2.657
ATOMIC_POSITIONS crystal
N 0.500 0.000 0.000
N 0.000 0.500 0.000
F 0.000 0.000 0.500
Pb 0.000 0.000 0.000
Se 0.500 0.500 0.500
! * formation energy without anion corrections: 1.21 eV/atom
! * distance to the lowest polymorph of the same formula: 0.000 eV per atom
! * space-group type: P4/mmm, No. 123
! * total energy: -3.9293 eV per atom

***

! CsRbAg, optimized geometry, DFT GGA-PBE; values from VASP
&SYSTEM
  ibrav = 0, nat = 6, ntyp = 3
/
ATOMIC_SPECIES
Cs 132.91 Cs.upf
Ag 107.87 Ag.upf
Rb 85.47 Rb.upf
CELL_PARAMETERS angstrom
5.508 0.000 -0.925
0.000 5.254 0.000
-0.748 0.000 12.402
ATOMIC_POSITIONS crystal
Cs 0.574 0.750 0.149
Cs 0.426 0.250 0.851
Ag 0.974 0.750 0.949
Ag 0.026 0.250 0.051
Rb 0.813 0.750 0.626
Rb 0.187 0.250 0.374
! * ΔH_f (0 K): 0.03 eV/atom
! * distance to the lowest polymorph of the same formula: 0.005 eV per atom
! * space-group type: Cmcm, No. 63
! * total energy: -1.5312 eV per atom

***

! ZnH3O, optimized geometry, DFT GGA-PBE; values from VASP
&SYSTEM
  ibrav = 0, nat = 5, ntyp = 3
/
ATOMIC_SPECIES
Zn 65.41 Zn.upf
O 16.00 O.upf
H 1.01 H.upf
CELL_PARAMETERS angstrom
3.426 0.000 0.000
0.000 3.426 0.000
0.000 0.000 3.426
ATOMIC_POSITIONS crystal
Zn 0.000 0.000 0.000
O 0.500 0.500 0.500
H 0.000 0.000 0.500
H 0.500 0.000 0.000
H 0.000 0.500 0.000
! * distance to the lowest polymorph of the same formula: 0.081 eV per atom
! * space-group type: Pm-3m, No. 221
! * total energy: -2.3776 eV per atom

***

! Dy4Te2PbSe, optimized geometry, DFT GGA-PBE; values from VASP
&SYSTEM
  ibrav = 0, nat = 8, ntyp = 4
/
ATOMIC_SPECIES
Se 78.96 Se.upf
Te 127.60 Te.upf
Dy 162.50 Dy.upf
Pb 207.20 Pb.upf
CELL_PARAMETERS angstrom
4.317 0.000 0.000
0.000 7.526 -0.167
0.000 2.632 6.967
ATOMIC_POSITIONS crystal
Se 0.500 0.500 0.000
Te 0.500 0.000 0.500
Te 0.000 0.000 0.000
Dy 0.500 0.737 0.247
Dy 0.000 0.728 0.766
Dy 0.500 0.263 0.753
Dy 0.000 0.272 0.234
Pb 0.000 0.500 0.500
! * formation energy without anion corrections: -1.23 eV/atom
! * space-group type: P2/m, No. 10
! * total energy: -5.2159 eV per atom

***

! Nd5Dy4In, optimized geometry, DFT GGA-PBE; values from VASP
&SYSTEM
  ibrav = 0, nat = 10, ntyp = 3
/
ATOMIC_SPECIES
In 114.82 In.upf
Nd 144.24 Nd.upf
Dy 162.50 Dy.upf
CELL_PARAMETERS angstrom
-0.675 1.183 -3.976
3.028 -2.613 -1.292
-12.391 -13.423 -1.892
ATOMIC_POSITIONS crystal
In 0.000 0.000 0.000
Nd 0.500 0.500 0.910
Nd 0.500 0.500 0.090
Nd 0.500 0.500 0.296
Nd 0.500 0.500 0.704
Nd 0.500 0.500 0.500
Dy 0.000 0.000 0.398
Dy 0.000 0.000 0.806
Dy 0.000 0.000 0.194
Dy 0.000 0.000 0.602
! * ΔH_f (0 K): -0.01 eV/atom
! * distance to the lowest polymorph of the same formula: 0.000 eV per atom
! * space-group type: P4/mmm, No. 123
! * total energy: -4.5053 eV per atom

***

! AlGaOs2S, optimized geometry, DFT GGA-PBE; values from VASP
&SYSTEM
  ibrav = 0, nat = 5, ntyp = 4
/
ATOMIC_SPECIES
Ga 69.72 Ga.upf
S 32.06 S.upf
Os 190.23 Os.upf
Al 26.98 Al.upf
CELL_PARAMETERS angstrom
4.397 0.000 0.000
0.000 4.433 0.000
0.000 0.000 4.397
ATOMIC_POSITIONS crystal
Ga 0.500 0.500 0.500
S 0.000 0.000 0.000
Os 0.000 0.000 0.500
Os 0.500 0.000 0.000
Al 0.000 0.500 0.000
! * formation energy without anion corrections: 0.99 eV/atom
! * space-group type: P4/mmm, No. 123
! * total energy: -5.6851 eV per atom

***

! La3TbPt2, optimized geometry, DFT GGA-PBE; values from VASP
&SYSTEM
  ibrav = 0, nat = 6, ntyp = 3
/
ATOMIC_SPECIES
Tb 158.93 Tb.upf
La 138.91 La.upf
Pt 195.08 Pt.upf
CELL_PARAMETERS angstrom
4.632 -0.012 -1.364
-0.367 4.583 -1.254
-0.170 -0.069 8.233
ATOMIC_POSITIONS crystal
Tb 0.000 0.000 0.000
La 0.184 0.692 0.377
La 0.816 0.308 0.623
La 0.500 0.500 0.000
Pt 0.355 0.896 0.746
Pt 0.645 0.104 0.254
! * ΔH_f (0 K): -0.76 eV/atom
! * space-group type: P-1, No. 2
! * total energy: -6.0124 eV per atom

***

! CaTi2Ir2, optimized geometry, DFT GGA-PBE; values from VASP
&SYSTEM
  ibrav = 0, nat = 5, ntyp = 3
/
ATOMIC_SPECIES
Ir 192.22 Ir.upf
Ti 47.87 Ti.upf
Ca 40.08 Ca.upf
CELL_PARAMETERS angstrom
-0.173 3.843 -1.775
-3.511 0.862 2.208
1.366 4.470 4.491
ATOMIC_POSITIONS crystal
Ir 0.250 0.750 0.500
Ir 0.750 0.250 0.500
Ti 0.634 0.634 0.732
Ti 0.366 0.366 0.268
Ca 0.000 0.000 0.000
! * ΔH_f (0 K): -0.32 eV/atom
! * distance to the lowest polymorph of the same formula: 0.397 eV per atom
! * space-group type: I4/mmm, No. 139
! * total energy: -7.4182 eV per atom

***

! Pm6SmTl4, optimized geometry, DFT GGA-PBE; values from VASP
&SYSTEM
  ibrav = 0, nat = 11, ntyp = 3
/
ATOMIC_SPECIES
Tl 204.38 Tl.upf
Sm 150.36 Sm.upf
Pm 145.00 Pm.upf
CELL_PARAMETERS angstrom
-6.846 4.231 1.721
0.688 -4.659 -6.750
2.168 -6.725 4.220
ATOMIC_POSITIONS crystal
Tl 0.665 0.402 0.402
Tl 0.335 0.737 0.737
Tl 0.000 0.598 0.263
Tl 0.000 0.263 0.598
Sm 0.000 0.000 0.000
Pm 0.375 0.473 0.473
Pm 0.625 0.098 0.098
Pm 0.000 0.527 0.902
Pm 0.500 0.500 0.000
Pm 0.500 0.000 0.500
Pm 0.000 0.902 0.527
! * ΔH_f (0 K): -0.07 eV/atom
! * space-group type: I-42m, No. 121
! * total energy: -3.9464 eV per atom

***

! PmTm2Ir, optimized geometry, DFT GGA-PBE; values from VASP
&SYSTEM
  ibrav = 0, nat = 4, ntyp = 3
/
ATOMIC_SPECIES
Tm 168.93 Tm.upf
Ir 192.22 Ir.upf
Pm 145.00 Pm.upf
CELL_PARAMETERS angstrom
4.601 0.000 0.000
2.301 3.985 0.000
2.301 1.328 5.975
ATOMIC_POSITIONS crystal
Tm 0.783 0.783 0.651
Tm 0.217 0.217 0.349
Ir 0.500 0.500 0.500
Pm 0.000 0.000 0.000
! * ΔH_f (0 K): -0.24 eV/atom
! * distance to the lowest polymorph of the same formula: 0.335 eV per atom
! * space-group type: R-3m, No. 166
! * total energy: -5.8821 eV per atom

***

! SmPaB12, optimized geometry, DFT GGA-PBE; values from VASP
&SYSTEM
  ibrav = 0, nat = 14, ntyp = 3
/
ATOMIC_SPECIES
B 10.81 B.upf
Sm 150.36 Sm.upf
Pa 231.04 Pa.upf
CELL_PARAMETERS angstrom
-3.607 -0.286 1.909
1.849 -1.679 3.241
1.115 7.455 3.225
ATOMIC_POSITIONS crystal
B 0.500 0.802 0.249
B 0.500 0.500 0.098
B 0.802 0.500 0.751
B 0.500 0.500 0.902
B 0.500 0.198 0.249
B 0.500 0.500 0.400
B 0.500 0.802 0.751
B 0.500 0.500 0.600
B 0.198 0.500 0.249
B 0.802 0.500 0.249
B 0.198 0.500 0.751
B 0.500 0.198 0.751
Sm 0.000 0.000 0.500
Pa 0.000 0.000 0.000
! * ΔH_f (0 K): -0.41 eV/atom
! * space-group type: P4/mmm, No. 123
! * total energy: -7.1479 eV per atom

***

! Pm2Sm6Tm3Mg, optimized geometry, DFT GGA-PBE; values from VASP
&SYSTEM
  ibrav = 0, nat = 12, ntyp = 4
/
ATOMIC_SPECIES
Tm 168.93 Tm.upf
Sm 150.36 Sm.upf
Pm 145.00 Pm.upf
Mg 24.30 Mg.upf
CELL_PARAMETERS angstrom
-2.794 4.062 3.733
-2.745 -1.780 -5.248
-3.284 -9.486 6.153
ATOMIC_POSITIONS crystal
Tm 0.166 0.834 0.500
Tm 0.500 0.500 0.500
Tm 0.834 0.166 0.500
Sm 0.084 0.415 0.253
Sm 0.415 0.084 0.253
Sm 0.585 0.916 0.747
Sm 0.752 0.752 0.254
Sm 0.916 0.585 0.747
Sm 0.248 0.248 0.746
Pm 0.333 0.667 0.000
Pm 0.667 0.333 0.000
Mg 0.000 0.000 0.000
! * ΔH_f (0 K): 0.02 eV/atom
! * space-group type: C2/m, No. 12
! * total energy: -4.3863 eV per atom